Computed, not measured: a geometry-optimized LaRh2Se structure at the PBE level of DFT.

For the size of the total moment, the calculation gives 0.0000 μB per atom. The value obtained for the electronic total energy is -6.397 eV/atom. As for the crystal system: tetragonal. As for the density of states at the Fermi level: 6.1 states/eV per cell.

The space group is I-42d (No. 122) and the conventional cell measures 4.782, 4.782 and 16.187 Å, with angles of 90.00, 90.00 and 90.00 degrees. Symmetry generates all atoms from La at (0.000, 0.000, 0.000), Rh at (0.111, 0.250, 0.625) and Se at (0.000, 0.000, 0.500).